Below is an optimized crystal structure of LiCoSO, with properties calculated at the PBE+U level.

a = 5.114 Å, b = 5.121 Å, c = 8.638 Å
α = 90.00°, β = 107.92°, γ = 90.00°
Fractional coordinates of all 16 atoms:
O 0.767 0.051 0.000
S 0.905 0.548 0.313
S 0.095 0.048 0.687
Li 0.077 0.302 0.140
Co 0.565 0.302 0.120
O 0.747 0.550 0.997
Li 0.752 0.787 0.501
O 0.253 0.050 0.003
O 0.233 0.551 0.000
Co 0.078 0.804 0.142
S 0.569 0.556 0.684
Li 0.923 0.802 0.860
Li 0.248 0.287 0.499
S 0.431 0.056 0.316
Co 0.435 0.802 0.880
Co 0.922 0.304 0.858

## Properties
crystal system = monoclinic
raw total energy = -4.729 eV/atom
ΔE to the lowest computed polymorph = 0.207 eV/atom